(1)
Here is crystalline ScAlCuOs at its relaxed geometry from Alexandria. Energies are from PBE.

Values from the calculation:
Final energy = -6.706 eV per atom

Cell: 4.414 4.414 4.414 Å, 60.00 60.00 60.00°
Atoms (fractional coordinates):
Sc  0.000  0.000  0.000
Al  0.500  0.500  0.500
Cu  0.250  0.250  0.250
Os  0.750  0.750  0.750

---

(2)
Here is crystalline Pm2H6PdRu at its relaxed geometry from Alexandria. Energies are from PBE.

Values from the calculation:
Final energy = -4.927 eV per atom

Cell: 5.300 5.300 5.300 Å, 120.12 120.12 89.79°
Atoms (fractional coordinates):
Pm  0.250  0.750  0.500
Pm  0.750  0.250  0.500
H  0.237  0.237  0.000
H  0.238  0.238  0.475
H  0.238  0.762  0.000
H  0.762  0.238  0.000
H  0.762  0.762  0.525
H  0.763  0.763  0.000
Pd  0.500  0.500  0.000
Ru  0.000  0.000  0.000

---

(3)
Here is crystalline ReTcSe3 at its relaxed geometry from Alexandria. Energies are from PBE.

Values from the calculation:
Excess energy over the best structure of this formula in the dataset = 0.0 meV per atom

Cell: 4.898 4.898 4.898 Å, 90.00 90.00 90.00°
Atoms (fractional coordinates):
Re  0.000  0.000  0.000
Tc  0.500  0.500  0.500
Se  0.000  0.000  0.500
Se  0.000  0.500  0.000
Se  0.500  0.000  0.000

---

(4)
Here is crystalline BeInTe2 at its relaxed geometry from Alexandria. Energies are from PBE.

Values from the calculation:
Excess energy over the best structure of this formula in the dataset = 784.9 meV per atom

Cell: 5.220 5.220 5.220 Å, 60.00 60.00 60.00°
Atoms (fractional coordinates):
Be  0.000  0.000  0.000
In  0.750  0.750  0.750
Te  0.250  0.250  0.250
Te  0.500  0.500  0.500

---

(5)
Here is crystalline CrAuSeN2 at its relaxed geometry from Alexandria. Energies are from PBE.

Values from the calculation:
Excess energy over the best structure of this formula in the dataset = 1095.0 meV per atom

Cell: 3.799 3.799 7.793 Å, 90.00 90.00 90.00°
Atoms (fractional coordinates):
Cr  0.000  0.000  0.000
Au  0.500  0.500  0.500
Se  0.500  0.500  0.000
N  0.000  0.500  0.500
N  0.500  0.000  0.500

---

(6)
Here is crystalline LaTb2Pr8 at its relaxed geometry from Alexandria. Energies are from PBE.

Values from the calculation:
Excess energy over the best structure of this formula in the dataset = 26.2 meV per atom

Cell: 9.639 9.639 6.110 Å, 105.74 105.74 122.41°
Atoms (fractional coordinates):
La  0.000  0.000  0.000
Tb  0.310  0.690  0.500
Tb  0.690  0.310  0.500
Pr  0.099  0.340  0.684
Pr  0.205  0.795  0.000
Pr  0.340  0.099  0.684
Pr  0.423  0.423  0.203
Pr  0.577  0.577  0.797
Pr  0.660  0.901  0.316
Pr  0.795  0.205  0.000
Pr  0.901  0.660  0.316

---

(7)
Here is crystalline SiIr2Br at its relaxed geometry from Alexandria. Energies are from PBE.

Values from the calculation:
Excess energy over the best structure of this formula in the dataset = 0.0 meV per atom

Cell: 2.997 7.711 7.711 Å, 22.25 90.00 90.00°
Atoms (fractional coordinates):
Si  0.000  0.000  0.000
Ir  0.500  0.411  0.411
Ir  0.500  0.589  0.589
Br  0.500  0.754  0.754

---

(8)
Here is crystalline In2P2O at its relaxed geometry from Alexandria. Energies are from PBE.

Values from the calculation:
Final energy = -3.048 eV per atom

Cell: 4.931 4.931 6.492 Å, 90.00 90.00 90.00°
Atoms (fractional coordinates):
In  0.000  0.000  0.000
In  0.000  0.000  0.500
P  0.000  0.500  0.000
P  0.500  0.000  0.000
O  0.500  0.500  0.500

---

(9)
Here is crystalline CdCu at its relaxed geometry from Alexandria. Energies are from PBE.

Values from the calculation:
Final energy = -2.442 eV per atom

Cell: 5.335 5.335 5.335 Å, 145.25 129.74 62.56°
Atoms (fractional coordinates):
Cd  0.361  0.111  0.250
Cd  0.639  0.889  0.750
Cu  0.106  0.356  0.750
Cu  0.894  0.644  0.250

---

(10)
Here is crystalline Pm3Y4HoS8 at its relaxed geometry from Alexandria. Energies are from PBE.

Values from the calculation:
Final energy = -6.859 eV per atom

Cell: 7.931 7.931 7.931 Å, 59.80 59.80 59.80°
Atoms (fractional coordinates):
Pm  0.000  0.500  0.500
Pm  0.500  0.000  0.500
Pm  0.500  0.500  0.000
Y  0.000  0.000  0.500
Y  0.000  0.500  0.000
Y  0.500  0.000  0.000
Y  0.500  0.500  0.500
Ho  0.000  0.000  0.000
S  0.241  0.751  0.751
S  0.246  0.246  0.246
S  0.249  0.249  0.759
S  0.249  0.759  0.249
S  0.751  0.241  0.751
S  0.751  0.751  0.241
S  0.754  0.754  0.754
S  0.759  0.249  0.249

---

Magnetic moment for the records above, in order: 0.0; 0.0; 3.7; 0.0; 4.7; 0.0; 0.0; 2.1; 0.0; 0.0 μB per formula unit
Fermi-level density of states for the records above, in order: 0.76; 0.30; 1.22; 0.74; 0.94; 1.51; 0.36; 0.92; 0.29; 0.55 states/eV per atom